This record from Alexandria via LeMat-Bulk describes a geometry-optimized ScMnVRe structure. The functional is PBE.

N(E_F) = 4.03 states/eV/f.u.
DFT formation energy = -0.02 eV/atom

Unit cell a=4.3866 b=4.3866 c=4.3866 alpha=60.00 beta=60.00 gamma=60.00
Last column: magnetic moment on the atom in μB.
Sites, in units of the cell vectors:
Re (0.2500, 0.2500, 0.2500)  0.30
Mn (0.7500, 0.7500, 0.7500)  2.14
V (0.5000, 0.5000, 0.5000)  -0.86
Sc (0.0000, 0.0000, 0.0000)  -0.02